Entry 1
## DyErCoCu (PBE-GGA)

Data for a relaxed DyErCoCu crystal. Values from VASP.

Structure (Quantum ESPRESSO input):
```
&SYSTEM
  ibrav = 0, nat = 4, ntyp = 4
/
ATOMIC_SPECIES
Dy 162.50 Dy.upf
Er 167.26 Er.upf
Co 58.93 Co.upf
Cu 63.55 Cu.upf
ATOMIC_POSITIONS angstrom
Dy 0.7539 -1.0044 0.7221
Er 1.9784 -4.1563 -0.4938
Co 2.2613 -3.0129 2.1661
Cu 0.4318 -2.0957 -1.9752
CELL_PARAMETERS angstrom
-2.3369 -2.6789 -1.2867
2.4791 -0.5512 -3.3548
3.8100 -2.1801 3.1737
```


Entry 2
## DyErCoCu (PBE-GGA)

Data for a relaxed DyErCoCu crystal. Values from VASP.

Structure (Quantum ESPRESSO input):
```
&SYSTEM
  ibrav = 0, nat = 4, ntyp = 4
/
ATOMIC_SPECIES
Dy 162.50 Dy.upf
Co 58.93 Co.upf
Cu 63.55 Cu.upf
Er 167.26 Er.upf
ATOMIC_POSITIONS angstrom
Dy -0.5265 2.6784 1.0649
Co -1.0530 5.3568 2.1298
Cu 0.0000 0.0000 0.0000
Er -1.5794 8.0352 3.1948
CELL_PARAMETERS angstrom
-1.9172 4.2778 -0.9581
-2.1994 2.4653 3.4610
2.0106 3.9704 1.7569
```


Which structure is most stable? entry 1, by 0.024 eV/atom over the runner-up.


Entry 1
## PmDyCoCu (PBE-GGA)

Data for a relaxed PmDyCoCu crystal. Values from VASP.

Structure (Quantum ESPRESSO input):
```
&SYSTEM
  ibrav = 0, nat = 4, ntyp = 4
/
ATOMIC_SPECIES
Pm 145.00 Pm.upf
Dy 162.50 Dy.upf
Co 58.93 Co.upf
Cu 63.55 Cu.upf
ATOMIC_POSITIONS angstrom
Pm 0.4101 0.5237 1.3175
Dy 0.3441 -1.1998 4.5458
Co 1.2221 1.5608 3.9264
Cu -0.5034 -2.2822 1.8229
CELL_PARAMETERS angstrom
-3.2827 -1.2933 1.5359
1.8994 -3.7520 0.9003
3.0695 2.4705 3.8203
```


Entry 2
## PmDyCoCu (PBE-GGA)

Data for a relaxed PmDyCoCu crystal. Values from VASP.

Structure (Quantum ESPRESSO input):
```
&SYSTEM
  ibrav = 0, nat = 4, ntyp = 4
/
ATOMIC_SPECIES
Pm 145.00 Pm.upf
Co 58.93 Co.upf
Cu 63.55 Cu.upf
Dy 162.50 Dy.upf
ATOMIC_POSITIONS angstrom
Pm -1.5001 -0.7705 5.7317
Co -2.2502 -1.1558 8.5976
Cu -0.7501 -0.3853 2.8659
Dy 0.0000 0.0000 0.0000
CELL_PARAMETERS angstrom
-3.3267 1.0218 3.4186
-1.0675 -3.3019 3.4287
1.3939 0.7391 4.6161
```


Which structure is most stable? entry 1, by 0.040 eV/atom over the runner-up.


Entry 1
## PrDyCoCu (PBE-GGA)

Data for a relaxed PrDyCoCu crystal. Values from VASP.

Structure (Quantum ESPRESSO input):
```
&SYSTEM
  ibrav = 0, nat = 4, ntyp = 4
/
ATOMIC_SPECIES
Pr 140.91 Pr.upf
Co 58.93 Co.upf
Cu 63.55 Cu.upf
Dy 162.50 Dy.upf
ATOMIC_POSITIONS angstrom
Pr -2.2163 -4.7769 2.9281
Co -3.3244 -7.1653 4.3922
Cu -1.1081 -2.3884 1.4641
Dy 0.0000 0.0000 0.0000
CELL_PARAMETERS angstrom
-0.3780 -4.9051 -0.0224
0.0524 -2.4906 4.2423
-4.1070 -2.1582 1.6363
```


Entry 2
## PrDyCoCu (PBE-GGA)

Data for a relaxed PrDyCoCu crystal. Values from VASP.

Structure (Quantum ESPRESSO input):
```
&SYSTEM
  ibrav = 0, nat = 4, ntyp = 4
/
ATOMIC_SPECIES
Pr 140.91 Pr.upf
Dy 162.50 Dy.upf
Co 58.93 Co.upf
Cu 63.55 Cu.upf
ATOMIC_POSITIONS angstrom
Pr 0.0000 0.0000 1.4919
Dy 1.9356 2.1751 3.7514
Co 0.0000 0.0000 4.4077
Cu 1.9356 2.1751 0.6663
CELL_PARAMETERS angstrom
3.8712 0.0000 0.0000
0.0000 4.3501 0.0000
-1.9356 0.0000 5.1586
```


Which structure is most stable? entry 2, by 0.046 eV/atom over the runner-up.


Entry 1
## HoErCoCu (PBE-GGA)

Data for a relaxed HoErCoCu crystal. Values from VASP.

Structure (Quantum ESPRESSO input):
```
&SYSTEM
  ibrav = 0, nat = 4, ntyp = 4
/
ATOMIC_SPECIES
Co 58.93 Co.upf
Ho 164.93 Ho.upf
Cu 63.55 Cu.upf
Er 167.26 Er.upf
ATOMIC_POSITIONS angstrom
Co -0.2399 -3.2565 8.1387
Ho 0.0000 0.0000 0.0000
Cu -0.0800 -1.0855 2.7129
Er -0.1600 -2.1710 5.4258
CELL_PARAMETERS angstrom
-0.5915 -3.9612 2.5971
2.4844 -0.6043 4.0309
-2.2128 0.2235 4.2236
```


Entry 2
## HoErCoCu (PBE-GGA)

Data for a relaxed HoErCoCu crystal. Values from VASP.

Structure (Quantum ESPRESSO input):
```
&SYSTEM
  ibrav = 0, nat = 4, ntyp = 4
/
ATOMIC_SPECIES
Ho 164.93 Ho.upf
Er 167.26 Er.upf
Co 58.93 Co.upf
Cu 63.55 Cu.upf
ATOMIC_POSITIONS angstrom
Ho 0.0000 0.0000 1.4448
Er 1.8848 2.0971 3.6589
Co 0.0000 0.0000 4.3420
Cu 1.8848 2.0971 0.6965
CELL_PARAMETERS angstrom
3.7696 0.0000 0.0000
0.0000 4.1942 0.0000
-1.8848 0.0000 5.0711
```


Which structure is most stable? entry 2, by 0.022 eV/atom over the runner-up.


Entry 1
## NdErCoCu (PBE-GGA)

Data for a relaxed NdErCoCu crystal. Values from VASP.

Structure (Quantum ESPRESSO input):
```
&SYSTEM
  ibrav = 0, nat = 4, ntyp = 4
/
ATOMIC_SPECIES
Nd 144.24 Nd.upf
Er 167.26 Er.upf
Co 58.93 Co.upf
Cu 63.55 Cu.upf
ATOMIC_POSITIONS angstrom
Nd 0.0000 0.0000 1.4821
Er 1.9204 2.1608 3.7154
Co 0.0000 0.0000 4.3655
Cu 1.9204 2.1608 0.6633
CELL_PARAMETERS angstrom
3.8409 0.0000 0.0000
0.0000 4.3215 0.0000
-1.9204 0.0000 5.1131
```


Entry 2
## NdErCoCu (PBE-GGA)

Data for a relaxed NdErCoCu crystal. Values from VASP.

Structure (Quantum ESPRESSO input):
```
&SYSTEM
  ibrav = 0, nat = 4, ntyp = 4
/
ATOMIC_SPECIES
Co 58.93 Co.upf
Nd 144.24 Nd.upf
Cu 63.55 Cu.upf
Er 167.26 Er.upf
ATOMIC_POSITIONS angstrom
Co -5.6155 5.8877 -3.7505
Nd -3.7437 3.9251 -2.5003
Cu -1.8718 1.9626 -1.2502
Er 0.0000 0.0000 0.0000
CELL_PARAMETERS angstrom
-0.5605 3.2174 -3.6217
-4.3582 0.5537 -2.1170
-2.5686 4.0792 0.7380
```


Which structure is most stable? entry 1, by 0.038 eV/atom over the runner-up.


Entry 1
## PmErCoCu (PBE-GGA)

Data for a relaxed PmErCoCu crystal. Values from VASP.

Structure (Quantum ESPRESSO input):
```
&SYSTEM
  ibrav = 0, nat = 4, ntyp = 4
/
ATOMIC_SPECIES
Pm 145.00 Pm.upf
Co 58.93 Co.upf
Cu 63.55 Cu.upf
Er 167.26 Er.upf
ATOMIC_POSITIONS angstrom
Pm 4.8566 2.8040 1.9827
Co 7.2849 4.2059 2.9740
Cu 2.4283 1.4020 0.9913
Er 0.0000 0.0000 0.0000
CELL_PARAMETERS angstrom
4.8566 0.0000 0.0000
2.4283 4.2059 0.0000
2.4283 1.4020 3.9654
```


Entry 2
## PmErCoCu (PBE-GGA)

Data for a relaxed PmErCoCu crystal. Values from VASP.

Structure (Quantum ESPRESSO input):
```
&SYSTEM
  ibrav = 0, nat = 4, ntyp = 4
/
ATOMIC_SPECIES
Pm 145.00 Pm.upf
Er 167.26 Er.upf
Co 58.93 Co.upf
Cu 63.55 Cu.upf
ATOMIC_POSITIONS angstrom
Pm 0.0000 0.0000 1.4738
Er 1.9142 2.1489 3.7029
Co 0.0000 0.0000 4.3591
Cu 1.9143 2.1489 0.6690
CELL_PARAMETERS angstrom
3.8285 0.0000 0.0000
0.0000 4.2977 0.0000
-1.9143 0.0000 5.1024
```


Which structure is most stable? entry 2, by 0.034 eV/atom over the runner-up.


Entry 1
## SmErCoCu (PBE-GGA)

Data for a relaxed SmErCoCu crystal. Values from VASP.

Structure (Quantum ESPRESSO input):
```
&SYSTEM
  ibrav = 0, nat = 4, ntyp = 4
/
ATOMIC_SPECIES
Sm 150.36 Sm.upf
Er 167.26 Er.upf
Co 58.93 Co.upf
Cu 63.55 Cu.upf
ATOMIC_POSITIONS angstrom
Sm 0.0000 0.0000 1.4690
Er 1.9106 2.1381 3.6971
Co 0.0000 0.0000 4.3578
Cu 1.9106 2.1381 0.6741
CELL_PARAMETERS angstrom
3.8212 0.0000 0.0000
0.0000 4.2762 0.0000
-1.9106 0.0000 5.0990
```


Entry 2
## SmErCoCu (PBE-GGA)

Data for a relaxed SmErCoCu crystal. Values from VASP.

Structure (Quantum ESPRESSO input):
```
&SYSTEM
  ibrav = 0, nat = 4, ntyp = 4
/
ATOMIC_SPECIES
Co 58.93 Co.upf
Cu 63.55 Cu.upf
Sm 150.36 Sm.upf
Er 167.26 Er.upf
ATOMIC_POSITIONS angstrom
Co 7.2631 4.1933 2.9651
Cu 2.4210 1.3978 0.9884
Sm 4.8421 2.7956 1.9768
Er 0.0000 0.0000 0.0000
CELL_PARAMETERS angstrom
4.8421 0.0000 0.0000
2.4210 4.1933 0.0000
2.4210 1.3978 3.9535
```


Which structure is most stable? entry 1, by 0.033 eV/atom over the runner-up.


Entry 1
## ErThCoCu (PBE-GGA)

Data for a relaxed ErThCoCu crystal. Values from VASP.

Structure (Quantum ESPRESSO input):
```
&SYSTEM
  ibrav = 0, nat = 4, ntyp = 4
/
ATOMIC_SPECIES
Co 58.93 Co.upf
Cu 63.55 Cu.upf
Th 232.04 Th.upf
Er 167.26 Er.upf
ATOMIC_POSITIONS angstrom
Co 2.4423 1.4100 0.9970
Cu 7.3268 4.2301 2.9911
Th 0.0000 0.0000 0.0000
Er 4.8845 2.8201 1.9941
CELL_PARAMETERS angstrom
4.8845 0.0000 0.0000
2.4423 4.2301 0.0000
2.4423 1.4100 3.9882
```


Entry 2
## ErThCoCu (PBE-GGA)

Data for a relaxed ErThCoCu crystal. Values from VASP.

Structure (Quantum ESPRESSO input):
```
&SYSTEM
  ibrav = 0, nat = 4, ntyp = 4
/
ATOMIC_SPECIES
Er 167.26 Er.upf
Th 232.04 Th.upf
Co 58.93 Co.upf
Cu 63.55 Cu.upf
ATOMIC_POSITIONS angstrom
Er 0.0000 0.0000 1.7087
Th 1.8969 1.9347 4.2702
Co 0.0000 0.0000 4.6517
Cu 1.8969 1.9347 0.8406
CELL_PARAMETERS angstrom
3.7938 0.0000 0.0000
0.0000 3.8693 0.0000
-1.8969 0.0000 5.7356
```


Which structure is most stable? entry 2, by 0.130 eV/atom over the runner-up.